A:
NdY2Sb, optimized geometry, DFT PBE-GGA; crystal system = tetragonal; symmetry = No. 123
1.0
-1.6623 -3.3908 1.2924
3.5960 -1.7298 0.0868
0.9105 2.2476 7.0679
Y Sb Nd
2 1 1
direct
0.0000 0.0000 0.7176
0.0000 0.0000 0.2824
0.5000 0.5000 0.5000
0.5000 0.5000 0.0000

---

B:
NdY2Sb, optimized geometry, DFT PBE-GGA; crystal system = orthorhombic; symmetry = No. 63
1.0
-2.6046 1.0978 -3.0565
-2.8188 -4.7592 3.5283
-3.9590 6.6048 5.7460
Nd Y Sb
2 4 2
direct
0.9426 0.8851 0.2500
0.0574 0.1149 0.7500
0.3622 0.7244 0.5435
0.6378 0.2756 0.4565
0.3622 0.7244 0.9565
0.6378 0.2756 0.0435
0.7621 0.5242 0.7500
0.2379 0.4758 0.2500

---

Which of them is most stable? Easy: B.

---

A:
NdSc3, optimized geometry, DFT PBE-GGA; crystal system = trigonal; symmetry = No. 166
1.0
-3.9063 2.1648 -5.1077
2.2569 -0.3670 -6.3879
-3.7471 -6.8287 -4.5348
Nd Sc
3 9
direct
0.7794 0.7794 0.6619
0.2206 0.2206 0.3381
0.0000 0.0000 0.0000
0.2310 0.7180 0.3330
0.7180 0.2310 0.3330
0.7180 0.7180 0.3330
0.0000 0.5000 0.0000
0.5000 0.5000 0.0000
0.5000 0.0000 0.0000
0.2820 0.7690 0.6670
0.7690 0.2820 0.6670
0.2820 0.2820 0.6670

---

B:
NdSc3, optimized geometry, DFT PBE-GGA; crystal system = tetragonal; symmetry = No. 139
1.0
4.8239 0.0000 0.0000
0.0000 4.8239 0.0000
-2.4120 -2.4120 4.6253
Sc Nd
3 1
direct
0.7500 0.2500 0.5000
0.2500 0.7500 0.5000
0.5000 0.5000 0.0000
0.0000 0.0000 0.0000

---

Which of them is most stable? Easy: A.

---

A:
Nd4Sc, optimized geometry, DFT PBE-GGA; crystal system = cubic; symmetry = No. 221
1.0
-0.2591 -3.2946 -4.6664
-4.1548 -3.0970 2.4173
-3.9201 3.5001 -2.2535
Sc Nd
1 4
direct
0.5000 0.5000 0.5000
0.0000 0.0000 0.0000
0.5000 0.0000 0.5000
0.0000 0.5000 0.5000
0.5000 0.5000 0.0000

---

B:
Nd4Sc, optimized geometry, DFT PBE-GGA; crystal system = tetragonal; symmetry = No. 87
1.0
3.5345 0.0000 1.3195
1.7673 6.6500 0.6598
-0.5586 0.0000 6.8898
Nd Sc
4 1
direct
0.2191 0.1947 0.3670
0.5861 0.6330 0.1947
0.7809 0.8053 0.6330
0.4139 0.3670 0.8053
0.0000 0.0000 0.0000

---

Which of them is most stable? Easy: B.

---

A:
Nd3Sc, optimized geometry, DFT PBE-GGA; crystal system = monoclinic; symmetry = No. 12
1.0
-0.4907 -2.9291 1.9725
4.1019 1.6511 3.4722
-8.5212 7.8517 6.3175
Nd Sc
6 2
direct
0.9099 0.7492 0.8198
0.0901 0.2508 0.1802
0.5437 0.7505 0.0874
0.4563 0.2495 0.9126
0.2881 0.7492 0.5762
0.7119 0.2508 0.4238
0.1578 0.7511 0.3156
0.8422 0.2489 0.6844

---

B:
Nd3Sc, optimized geometry, DFT PBE-GGA; crystal system = orthorhombic; symmetry = No. 44
1.0
3.6440 0.0000 0.0000
0.0000 6.1962 0.0000
-1.8220 -3.0981 5.7802
Sc Nd
1 3
direct
0.0000 0.9974 0.0000
0.2585 0.5973 0.5169
0.5000 0.4916 0.0000
0.7415 0.0803 0.4831

---

Which of them is most stable? Easy: A.

---

A:
Nd2Sc, optimized geometry, DFT PBE-GGA; crystal system = cubic; symmetry = No. 227
1.0
6.5410 0.0000 0.0000
3.2705 5.6647 0.0000
3.2705 1.8882 5.3407
Sc Nd
2 4
direct
0.0000 0.0000 0.0000
0.2500 0.2500 0.2500
0.1250 0.6250 0.6250
0.6250 0.1250 0.6250
0.6250 0.6250 0.6250
0.6250 0.6250 0.1250

---

B:
Nd2Sc, optimized geometry, DFT PBE-GGA; crystal system = cubic; symmetry = No. 225
1.0
5.3912 0.0000 -0.0002
0.0000 5.3912 0.0000
-2.6955 -2.6956 3.8134
Nd Sc
2 1
direct
0.7500 0.2500 0.5000
0.2500 0.7500 0.5000
0.0000 0.0000 0.0000

---

Which of them is most stable? Easy: A.

---

A:
NdSc2, optimized geometry, DFT PBE-GGA; crystal system = tetragonal; symmetry = No. 109
1.0
-2.5643 2.8476 -6.9213
-7.4155 -1.9557 1.9428
4.2724 4.6020 4.8319
Nd Sc
4 8
direct
0.9918 0.7775 0.9837
0.4561 0.7418 0.4837
0.0275 0.7418 0.4837
0.9918 0.2061 0.9837
0.3545 0.0342 0.0684
0.7238 0.0219 0.4475
0.7238 0.4256 0.4475
0.7138 0.0342 0.0684
0.2842 0.4638 0.5684
0.6756 0.4738 0.9475
0.2719 0.4738 0.9475
0.2842 0.1045 0.5684

---

B:
NdSc2, optimized geometry, DFT PBE-GGA; crystal system = monoclinic; symmetry = No. 12
1.0
-4.0367 2.2462 0.8451
1.5170 1.1218 4.3004
1.1808 9.0821 1.0569
Nd Sc
2 4
direct
0.7270 0.2269 0.1909
0.2730 0.7731 0.8091
0.5000 0.5000 0.5000
0.0000 0.0000 0.5000
0.7673 0.2673 0.8067
0.2327 0.7327 0.1933

---

Which of them is most stable? Easy: B.

---

A:
NdSc2, optimized geometry, DFT PBE-GGA; crystal system = cubic; symmetry = No. 227
1.0
-1.4551 -3.5600 5.0617
3.2717 -5.3185 1.1918
3.9689 -0.2462 4.9597
Sc Nd
4 2
direct
0.1250 0.6250 0.6250
0.6250 0.1250 0.6250
0.6250 0.6250 0.6250
0.6250 0.6250 0.1250
0.0000 0.0000 0.0000
0.2500 0.2500 0.2500

---

B:
NdSc2, optimized geometry, DFT PBE-GGA; crystal system = tetragonal; symmetry = No. 139
1.0
3.8009 0.0000 0.0000
0.0000 3.8009 0.0000
-1.9005 -1.9005 5.8179
Sc Nd
2 1
direct
0.6797 0.6797 0.3595
0.3203 0.3203 0.6405
0.0000 0.0000 0.0000

---

Which of them is most stable? Easy: B.

---

A:
NdScSi, optimized geometry, DFT PBE-GGA; crystal system = tetragonal; symmetry = No. 129
1.0
4.3074 0.0000 0.0000
0.0000 4.3074 0.0000
0.0000 0.0000 7.8654
Nd Sc Si
2 2 2
direct
0.0000 0.5000 0.8550
0.5000 0.0000 0.1450
0.5000 0.5000 0.5000
0.0000 0.0000 0.5000
0.0000 0.5000 0.2628
0.5000 0.0000 0.7372

---

B:
NdScSi, optimized geometry, DFT PBE-GGA; crystal system = orthorhombic; symmetry = No. 63
1.0
5.3976 0.0000 0.0000
0.0000 3.3873 0.0000
0.0000 1.6937 8.3540
Nd Sc Si
2 2 2
direct
0.7500 0.6723 0.6554
0.2500 0.3277 0.3446
0.5000 0.0000 0.0000
0.0000 0.0000 0.0000
0.7500 0.8523 0.2953
0.2500 0.1477 0.7047

---

C:
NdScSi, optimized geometry, DFT PBE-GGA; crystal system = tetragonal; symmetry = No. 139
1.0
8.4997 -0.0015 0.0000
6.3342 5.6676 0.0000
-7.4169 -2.8331 3.0343
Nd Sc Si
2 2 2
direct
0.6766 0.6766 0.0000
0.3234 0.3234 0.0000
0.0000 0.5000 0.5000
0.5000 0.0000 0.5000
0.8781 0.8781 0.0000
0.1219 0.1219 0.0000

---

Which of them is most stable? Easy: C.